# 1
The following is a DFT calculation (PBE) of a relaxed structure of Ba2Na2GaPb4.

POSCAR file:
```
Ba2Na2GaPb4
1.0
-3.7918 3.7918 5.2390
3.7918 -3.7918 5.2390
3.7918 3.7918 -5.2390
Ba Na Ga Pb
2 2 1 4
Cartesian
3.7918 0.0000 2.6195 Ba
0.0000 3.7918 2.6195 Ba
0.0000 0.0000 2.2856 Na
0.0000 0.0000 8.1924 Na
0.0000 0.0000 5.2390 Ga
1.7323 1.7323 0.0000 Pb
2.0595 -2.0595 5.2390 Pb
-2.0595 2.0595 5.2390 Pb
2.0595 2.0595 5.2390 Pb
```

Values from the calculation:
Space group   No. 139
Crystal system   tetragonal
Volume   301 Å³ per cell
Formation energy   -0.2852 eV per atom

# 2
The following is a DFT calculation (PBE) of a relaxed structure of BaNaGa2Pb.

POSCAR file:
```
BaNaGa2Pb
1.0
5.7236 0.0000 0.0000
0.0000 5.7236 0.0000
0.0000 0.0000 6.6778
Ba Na Ga Pb
1 1 2 1
Cartesian
0.0000 0.0000 0.0000 Ba
2.8618 2.8618 0.0000 Na
0.0000 2.8618 3.3389 Ga
2.8618 0.0000 3.3389 Ga
0.0000 0.0000 3.3389 Pb
```

Values from the calculation:
Space group   No. 123
Crystal system   tetragonal
Volume   219 Å³ per cell
Formation energy   0.2960 eV per atom

# 3
The following is a DFT calculation (PBE) of a relaxed structure of BaNa2GaPd.

POSCAR file:
```
BaNa2GaPd
1.0
5.5103 0.0000 0.0000
0.0000 5.5103 0.0000
0.0000 0.0000 4.9164
Ba Na Ga Pd
1 2 1 1
Cartesian
0.0000 0.0000 0.0000 Ba
0.0000 2.7552 2.4582 Na
2.7552 0.0000 2.4582 Na
2.7552 2.7552 0.0000 Ga
2.7552 2.7552 2.4582 Pd
```

Values from the calculation:
Space group   No. 123
Crystal system   tetragonal
Volume   149 Å³ per cell
Formation energy   -0.1739 eV per atom

# 4
The following is a DFT calculation (PBE) of a relaxed structure of BaNaGa2Pd.

POSCAR file:
```
BaNaGa2Pd
1.0
4.9415 0.0000 0.0000
0.0000 4.9415 0.0000
0.0000 0.0000 5.3435
Ba Na Ga Pd
1 1 2 1
Cartesian
0.0000 0.0000 0.0000 Ba
2.4708 2.4708 0.0000 Na
0.0000 2.4708 2.6717 Ga
2.4708 0.0000 2.6717 Ga
2.4708 2.4708 2.6717 Pd
```

Values from the calculation:
Space group   No. 123
Crystal system   tetragonal
Volume   130 Å³ per cell
Formation energy   -0.3364 eV per atom

# 5
The following is a DFT calculation (PBE) of a relaxed structure of BaNa2GaPt.

POSCAR file:
```
BaNa2GaPt
1.0
5.5451 0.0000 0.0000
0.0000 5.5451 0.0000
0.0000 0.0000 4.8524
Ba Na Ga Pt
1 2 1 1
Cartesian
0.0000 0.0000 0.0000 Ba
0.0000 2.7725 2.4262 Na
2.7725 0.0000 2.4262 Na
2.7725 2.7725 0.0000 Ga
2.7725 2.7725 2.4262 Pt
```

Values from the calculation:
Space group   No. 123
Crystal system   tetragonal
Volume   149 Å³ per cell
Formation energy   -0.2403 eV per atom

# 6
The following is a DFT calculation (PBE) of a relaxed structure of Ba2NaGaPt.

POSCAR file:
```
Ba2NaGaPt
1.0
6.3019 0.0000 0.0000
0.0000 6.3019 0.0000
0.0000 0.0000 4.9041
Ba Na Ga Pt
2 1 1 1
Cartesian
0.0000 3.1509 0.0000 Ba
3.1509 0.0000 0.0000 Ba
0.0000 0.0000 2.4520 Na
3.1509 3.1509 2.4520 Ga
3.1509 3.1509 0.0000 Pt
```

Values from the calculation:
Space group   No. 123
Crystal system   tetragonal
Volume   195 Å³ per cell
Formation energy   -0.4207 eV per atom

# 7
The following is a DFT calculation (PBE) of a relaxed structure of BaNaGaPt.

POSCAR file:
```
BaNaGaPt
1.0
4.4656 0.0000 0.0000
0.0000 4.4656 0.0000
0.0000 0.0000 12.7059
Ba Na Ga Pt
2 2 2 2
Cartesian
1.1164 1.1164 2.7512 Ba
3.3492 3.3492 9.9547 Ba
1.1164 3.3492 6.3530 Na
3.3492 1.1164 6.3530 Na
1.1164 3.3492 0.0000 Ga
3.3492 1.1164 0.0000 Ga
1.1164 1.1164 11.4376 Pt
3.3492 3.3492 1.2683 Pt
```

Values from the calculation:
Space group   No. 129
Crystal system   tetragonal
Volume   253 Å³ per cell
Formation energy   -0.4941 eV per atom

# 8
The following is a DFT calculation (PBE) of a relaxed structure of BaNaGa2Pt2.

POSCAR file:
```
BaNaGa2Pt2
1.0
4.5483 0.0000 0.0000
-2.2742 3.9389 0.0000
0.0000 0.0000 7.4708
Ba Na Ga Pt
1 1 2 2
Cartesian
0.0000 0.0000 0.0000 Ba
0.0000 0.0000 3.7354 Na
0.0000 2.6260 2.4809 Ga
2.2742 1.3130 4.9899 Ga
0.0000 2.6260 5.1561 Pt
2.2742 1.3130 2.3148 Pt
```

Values from the calculation:
Space group   No. 164
Crystal system   trigonal
Volume   134 Å³ per cell
Formation energy   -0.6440 eV per atom

# 9
The following is a DFT calculation (PBE) of a relaxed structure of BaNaGa2Pt.

POSCAR file:
```
BaNaGa2Pt
1.0
4.9100 0.0000 0.0000
0.0000 4.9100 0.0000
0.0000 0.0000 5.4086
Ba Na Ga Pt
1 1 2 1
Cartesian
0.0000 0.0000 0.0000 Ba
2.4550 2.4550 0.0000 Na
0.0000 2.4550 2.7043 Ga
2.4550 0.0000 2.7043 Ga
2.4550 2.4550 2.7043 Pt
```

Values from the calculation:
Space group   No. 123
Crystal system   tetragonal
Volume   130 Å³ per cell
Formation energy   -0.4208 eV per atom

# 10
The following is a DFT calculation (PBE) of a relaxed structure of RbBa2NaGa.

POSCAR file:
```
RbBa2NaGa
1.0
6.6201 0.0000 0.0000
0.0000 6.6201 0.0000
0.0000 0.0000 6.2937
Rb Ba Na Ga
1 2 1 1
Cartesian
0.0000 0.0000 0.0000 Rb
0.0000 3.3101 3.1469 Ba
3.3101 0.0000 3.1469 Ba
3.3101 3.3101 0.0000 Na
3.3101 3.3101 3.1469 Ga
```

Values from the calculation:
Space group   No. 123
Crystal system   tetragonal
Volume   276 Å³ per cell
Formation energy   0.0078 eV per atom

# 11
The following is a DFT calculation (PBE) of a relaxed structure of BaNaGa2Ru.

POSCAR file:
```
BaNaGa2Ru
1.0
4.8784 0.0000 0.0000
0.0000 4.8784 0.0000
0.0000 0.0000 5.4133
Ba Na Ga Ru
1 1 2 1
Cartesian
0.0000 0.0000 0.0000 Ba
2.4392 2.4392 0.0000 Na
0.0000 2.4392 2.7067 Ga
2.4392 0.0000 2.7067 Ga
2.4392 2.4392 2.7067 Ru
```

Values from the calculation:
Space group   No. 123
Crystal system   tetragonal
Volume   129 Å³ per cell
Formation energy   -0.1614 eV per atom

# 12
The following is a DFT calculation (PBE) of a relaxed structure of Ba2NaGaS4.

POSCAR file:
```
Ba2NaGaS4
1.0
6.1060 -5.7470 0.0000
6.1060 5.7470 0.0000
-5.9854 0.0000 6.1384
Ba Na Ga S
4 2 2 8
Cartesian
0.0000 0.0000 0.0000 Ba
-2.9927 0.0000 3.0692 Ba
3.0530 2.8735 0.0000 Ba
0.0603 -2.8735 3.0692 Ba
6.1060 0.0000 0.0000 Na
3.1133 0.0000 3.0692 Na
0.0603 2.8735 3.0692 Ga
3.0530 -2.8735 0.0000 Ga
0.1205 0.5656 3.1199 S
3.0342 2.7480 3.1276 S
0.1998 2.7480 6.0800 S
3.1132 -0.5656 0.0507 S
3.1135 0.5656 6.0877 S
6.0269 -2.7480 0.0584 S
3.1925 -2.7480 3.0108 S
6.1062 -0.5656 3.0185 S
```

Values from the calculation:
Space group   No. 15
Crystal system   monoclinic
Volume   431 Å³ per cell
Energy relative to the elements, uncorrected   -1.25 eV/atom